Run one
Y3Ag2 | meta-GGA SCAN | single point on PBEsol structure

Cell: 3.629 3.629 9.751 Å, 100.72 100.72 90.00°
Fractional positions:
Y 0.374 0.374 0.748
Y 0.000 0.000 0.000
Y 0.626 0.626 0.252
Ag 0.212 0.212 0.425
Ag 0.788 0.788 0.575

Summary:
total magnetization	0.0	μB per formula unit



Run two
Y3Ag2 | meta-GGA SCAN | single point on PBEsol structure

Cell: 3.708 8.190 8.190 Å, 90.00 90.00 90.00°
Fractional positions:
Ag 0.000 0.374 0.874
Ag 0.000 0.626 0.126
Ag 0.000 0.126 0.374
Ag 0.000 0.874 0.626
Y 0.000 0.000 0.000
Y 0.000 0.500 0.500
Y 0.500 0.167 0.667
Y 0.500 0.833 0.333
Y 0.500 0.333 0.167
Y 0.500 0.667 0.833

Summary:
total magnetization	0.0	μB per formula unit



Least stable of them? run one.



Run one
YZr2Ag | meta-GGA SCAN | single point on PBEsol structure

Cell: 3.237 3.237 10.115 Å, 80.79 80.79 60.00°
Fractional positions:
Ag 0.497 0.497 0.510
Y 0.247 0.247 0.260
Zr 0.004 0.004 0.988
Zr 0.753 0.753 0.742

Summary:
total magnetization	0.0	μB per formula unit



Run two
YZr2Ag | meta-GGA SCAN | single point on PBEsol structure

Cell: 3.274 3.274 8.354 Å, 90.00 90.00 90.00°
Site moments in Bohr magnetons follow the coordinates.
Fractional positions:
Y 0.500 0.500 0.733  0.18
Zr 0.000 0.000 0.018  0.12
Zr 0.500 0.500 0.265  0.03
Ag 0.000 0.000 0.484  0.00

Summary:
total magnetization	0.5	μB per formula unit



Least stable of them? run one.



Run one
YZrAg | meta-GGA SCAN | single point on PBEsol structure

Cell: 3.268 3.268 7.376 Å, 90.00 90.00 120.00°
Fractional positions:
Ag 0.000 0.000 0.009
Y 0.333 0.667 0.672
Zr 0.667 0.333 0.319

Summary:
total magnetization	0.0	μB per formula unit



Run two
YZrAg | meta-GGA SCAN | single point on PBEsol structure

Cell: 4.778 4.778 4.778 Å, 60.00 60.00 60.00°
Site moments in Bohr magnetons follow the coordinates.
Fractional positions:
Ag 0.250 0.250 0.250  0.07
Y 0.000 0.000 0.000  0.34
Zr 0.500 0.500 0.500  0.72

Summary:
total magnetization	1.8	μB per formula unit



Least stable of them? run two.